The following is a DFT calculation (PBE) of crystalline DySc2Co at its relaxed geometry.

a b c (Å): 6.6239 8.8700 5.9622
angles (deg): 90.00 90.00 90.00
Last column: nearest neighbours and their distance in Å.
Space group Pnma (No. 62)
Asymmetric unit:
Dy  0.0366  0.2500  0.1302 [4 per cell]  2 Co 2.62-2.79
Sc  0.1721  0.0664  0.6726 [8 per cell]  2 Co 2.56-2.67
Co  0.1103  0.7500  0.4319 [4 per cell]  4 Sc 2.56-2.67, 2 Dy 2.62-2.79

Output
* E_form: -0.197 eV per atom
* DOS(E_F): 1.22 states/eV per atom